Record 1
# Dy2TmSc6

An optimized crystal structure of Dy2TmSc6 (PBE, Alexandria via LeMat-Bulk).

Unit cell a=15.8735 b=9.1601 c=3.2795 alpha=90.00 beta=90.08 gamma=90.00
Space group C2/m (No. 12)
Symmetry-distinct sites (fractional):
Dy: 0.1667 0.0000 0.9999 [4 per cell]
Tm: 0.0000 0.5000 0.0000 [2 per cell]
Sc: 0.0000 0.1676 0.5000 [4 per cell]
Sc: 0.1662 0.3338 0.4991 [8 per cell]

The energy is -102.194 eV per cell. As for the formation energy: 6 kJ per mole of atoms. The energy above the lowest structure with this stoichiometry comes out at 0.0000 eV/atom.

***

Record 2
# Y3In5O12

An optimized crystal structure of Y3In5O12 (PBE, Alexandria via LeMat-Bulk).

Unit cell a=13.1546 b=13.1546 c=13.1546 alpha=90.00 beta=90.00 gamma=90.00
Space group Ia-3d (No. 230)
Symmetry-distinct sites (fractional):
Y: 0.0000 0.2500 0.1250 [24 per cell]
In: 0.0000 0.0000 0.0000 [16 per cell]
In: 0.0000 0.2500 0.3750 [24 per cell]
O: 0.0201 0.0639 0.6528 [96 per cell]

The energy is -1095.869 eV per cell. For the formation energy from raw total energies, the calculation gives -2.22 eV/atom.

***

Record 3
# Tb8CoPd2

An optimized crystal structure of Tb8CoPd2 (PBE, Alexandria via LeMat-Bulk).

Unit cell a=17.2268 b=5.0827 c=6.7203 alpha=90.00 beta=104.70 gamma=90.00
Space group C2/m (No. 12)
Symmetry-distinct sites (fractional):
Tb: 0.0311 0.0000 0.2903 [4 per cell]
Tb: 0.0884 0.5000 0.9383 [4 per cell]
Tb: 0.1615 0.5000 0.4738 [4 per cell]
Tb: 0.2032 0.0000 0.8197 [4 per cell]
Co: 0.0000 0.5000 0.5000 [2 per cell]
Pd: 0.1898 0.0000 0.2281 [4 per cell]

The energy is -116.326 eV per cell. As for the formation energy: -32 kJ per mole of atoms. The energy above the lowest structure with this stoichiometry comes out at 0.0000 eV/atom.

***

Record 4
# Ag2H4Se3

An optimized crystal structure of Ag2H4Se3 (PBE, Alexandria via LeMat-Bulk).

Unit cell a=5.7476 b=7.5507 c=10.0871 alpha=93.73 beta=106.49 gamma=111.66
Space group P-1 (No. 2)
Symmetry-distinct sites (fractional):
Ag: 0.1706 0.1998 0.2547 [2 per cell]
Ag: 0.2716 0.6684 0.7542 [2 per cell]
H: 0.2727 0.2254 0.6367 [2 per cell]
H: 0.3038 0.9567 0.0073 [2 per cell]
H: 0.3388 0.5452 0.4827 [2 per cell]
H: 0.4050 0.2735 0.8602 [2 per cell]
Se: 0.1312 0.7453 0.9643 [2 per cell]
Se: 0.1548 0.2491 0.7478 [2 per cell]
Se: 0.4189 0.7541 0.5392 [2 per cell]

The energy is -59.748 eV per cell.

***

Record 5
# LiAs2PtBr

An optimized crystal structure of LiAs2PtBr (PBE, Alexandria via LeMat-Bulk).

Unit cell a=4.6457 b=4.6457 c=8.9687 alpha=90.00 beta=90.00 gamma=90.00
Space group P4/mmm (No. 123)
Symmetry-distinct sites (fractional):
Li: 0.0000 0.0000 0.0000 [1 per cell]
As: 0.0000 0.5000 0.5000 [2 per cell]
Pt: 0.5000 0.5000 0.5000 [1 per cell]
Br: 0.5000 0.5000 0.0000 [1 per cell]

The energy is -18.708 eV per cell. For the formation energy from raw total energies, the calculation gives 0.04 eV/atom. The energy above the lowest structure with this stoichiometry comes out at 0.0000 eV/atom.

***

Record 6
# NaNiH3

An optimized crystal structure of NaNiH3 (PBE, Alexandria via LeMat-Bulk).

Unit cell a=3.0765 b=3.0765 c=10.7072 alpha=90.00 beta=90.00 gamma=120.00
Space group P6_3/mmc (No. 194)
Symmetry-distinct sites (fractional):
Na: 0.0000 0.0000 0.0000 [2 per cell]
Ni: 0.3333 0.6667 0.2500 [2 per cell]
H: 0.0000 0.0000 0.2500 [2 per cell]
H: 0.3333 0.6667 0.1080 [4 per cell]

The energy is -34.345 eV per cell.

***

Record 7
# TlP2PtO

An optimized crystal structure of TlP2PtO (PBE, Alexandria via LeMat-Bulk).

Unit cell a=5.1110 b=5.1110 c=3.9536 alpha=90.00 beta=90.00 gamma=90.00
Space group P4/mmm (No. 123)
Symmetry-distinct sites (fractional):
Tl: 0.0000 0.0000 0.0000 [1 per cell]
P: 0.0000 0.5000 0.0000 [2 per cell]
Pt: 0.5000 0.5000 0.5000 [1 per cell]
O: 0.0000 0.0000 0.5000 [1 per cell]

The energy is -17.661 eV per cell. For the formation energy from raw total energies, the calculation gives 1.30 eV/atom. The energy above the lowest structure with this stoichiometry comes out at 0.9577 eV/atom.

***

Record 8
# Cs3Ge2Au5

An optimized crystal structure of Cs3Ge2Au5 (PBE, Alexandria via LeMat-Bulk).

Unit cell a=9.1315 b=20.5278 c=7.6173 alpha=90.00 beta=90.00 gamma=90.00
Space group Ibam (No. 72)
Symmetry-distinct sites (fractional):
Cs: 0.0000 0.0000 0.2500 [4 per cell]
Cs: 0.1525 0.3439 0.0000 [8 per cell]
Ge: 0.1734 0.1622 0.0000 [8 per cell]
Au: 0.0000 0.1765 0.2500 [8 per cell]
Au: 0.0000 0.5000 0.2500 [4 per cell]
Au: 0.1741 0.4370 0.5000 [8 per cell]

The energy is -119.944 eV per cell. As for the formation energy: -17 kJ per mole of atoms.